Entry 1:
This record from the Alexandria database describes an optimized crystal structure of Mn2AlCo. The functional is PBE.

For the energy of formation from the pure elements, the calculation gives 0.3741 eV/atom. The value obtained for the energy above the most stable polymorph in this dataset is 640 meV/atom.

The space group is I-42d (No. 122) and the conventional cell measures 6.692, 6.692 and 4.997 Å, with angles of 90.00, 90.00 and 90.00 degrees. The asymmetric unit holds Mn at (0.219, 0.250, 0.125), Al at (0.000, 0.000, 0.500) and Co at (0.000, 0.000, 0.000).


Entry 2:
This record from the Alexandria database describes an optimized crystal structure of CsSe2. The functional is PBE.

The value obtained for the energy above the most stable polymorph in this dataset is 159 meV/atom.

The space group is I4/mmm (No. 139) and the conventional cell measures 5.129, 5.129 and 9.746 Å, with angles of 90.00, 90.00 and 90.00 degrees. The asymmetric unit holds Cs at (0.000, 0.000, 0.000) and Se at (0.000, 0.000, 0.382).


Entry 3:
This record from the Alexandria database describes an optimized crystal structure of Sr4AsN. The functional is PBE.

The calculation puts the total DFT energy (no corrections) at -3.726 eV per atom.

The space group is P4/mmm (No. 123) and the conventional cell measures 4.893, 4.893 and 7.143 Å, with angles of 90.00, 90.00 and 90.00 degrees. The asymmetric unit holds Sr at (0.000, 0.500, 0.221), As at (0.000, 0.000, 0.500) and N at (0.500, 0.500, 0.000).


Entry 4:
This record from the Alexandria database describes an optimized crystal structure of ScTl2GaTe5. The functional is PBE.

The calculation puts the total DFT energy (no corrections) at -3.794 eV per atom.

The space group is Cmc2_1 (No. 36) and the conventional cell measures 4.010, 20.493 and 14.290 Å, with angles of 90.00, 90.00 and 90.00 degrees. The asymmetric unit holds Sc at (0.000, 0.193, 0.000), Tl at (0.000, 0.124, 0.651), Tl at (0.000, 0.130, 0.297), Ga at (0.000, 0.436, 0.400), Te at (0.000, 0.046, 0.019), Te at (0.000, 0.289, 0.644), Te at (0.000, 0.311, 0.350), Te at (0.000, 0.335, 0.975) and Te at (0.000, 0.496, 0.745).


Entry 5:
This record from the Alexandria database describes an optimized crystal structure of Sm2BeRhO6. The functional is PBE.

The calculation puts the total DFT energy (no corrections) at -7.390 eV per atom.

The space group is P2_1/c (No. 14) and the conventional cell measures 5.339, 5.575 and 9.150 Å, with angles of 90.00, 125.48 and 90.00 degrees. The asymmetric unit holds Sm at (0.237, 0.064, 0.251), Be at (0.500, 0.000, 0.000), Rh at (0.000, 0.000, 0.500), O at (0.164, 0.198, 0.957), O at (0.260, 0.712, 0.954) and O at (0.349, 0.019, 0.765).


Entry 6:
This record from the Alexandria database describes an optimized crystal structure of Ac2TlTcO8. The functional is PBE.

The calculation puts the total DFT energy (no corrections) at -7.103 eV per atom.

The space group is P-1 (No. 2) and the conventional cell measures 5.669, 5.764 and 7.137 Å, with angles of 74.93, 79.00 and 71.97 degrees. The asymmetric unit holds Ac at (0.071, 0.150, 0.202), Tl at (0.500, 0.500, 0.500), Tc at (0.500, 0.500, 0.000), O at (0.214, 0.811, 0.485), O at (0.266, 0.418, 0.884), O at (0.270, 0.825, 0.996) and O at (0.347, 0.380, 0.250).


Entry 7:
This record from the Alexandria database describes an optimized crystal structure of Ce5HgTe4. The functional is PBE.

The calculation puts the total DFT energy (no corrections) at -5.375 eV per atom.

The space group is I4/m (No. 87) and the conventional cell measures 10.019, 10.019 and 6.342 Å, with angles of 90.00, 90.00 and 90.00 degrees. The asymmetric unit holds Ce at (0.000, 0.000, 0.000), Ce at (0.102, 0.701, 0.500), Hg at (0.000, 0.000, 0.500) and Te at (0.099, 0.699, 0.000).


Entry 8:
This record from the Alexandria database describes an optimized crystal structure of NdMgAs2. The functional is PBE.

For the energy of formation from the pure elements, the calculation gives -0.8227 eV/atom. The value obtained for the energy above the most stable polymorph in this dataset is 16 meV/atom.

The space group is R-3m (No. 166, hexagonal axes) and the conventional cell measures 4.2462, 4.2462 and 18.8655 Å, with angles of 90.00, 90.00 and 120.00 degrees. The asymmetric unit holds Nd at (0.0000, 0.0000, 0.0000), Mg at (0.0000, 0.0000, 0.5000) and As at (0.0000, 0.0000, 0.2429).


Entry 9:
This record from the Alexandria database describes an optimized crystal structure of Y2PuTc2. The functional is PBE.

For the energy of formation from the pure elements, the calculation gives -0.1281 eV/atom.

The space group is C2/c (No. 15) and the conventional cell measures 9.896, 5.867 and 7.927 Å, with angles of 90.00, 100.29 and 90.00 degrees. The asymmetric unit holds Y at (0.153, 0.128, 0.153), Pu at (0.000, 0.364, 0.750) and Tc at (0.125, 0.370, 0.510).


Entry 10:
This record from the Alexandria database describes an optimized crystal structure of La5HoAg. The functional is PBE.

For the energy of formation from the pure elements, the calculation gives 0.0216 eV/atom.

The space group is C2/c (No. 15) and the conventional cell measures 8.839, 8.699 and 12.598 Å, with angles of 90.00, 104.31 and 90.00 degrees. The asymmetric unit holds La at (0.000, 0.033, 0.250), La at (0.149, 0.364, 0.064), La at (0.217, 0.325, 0.365), Ho at (0.000, 0.359, 0.750) and Ag at (0.000, 0.000, 0.000).


Entry 11:
This record from the Alexandria database describes an optimized crystal structure of Tb3Pm2DyY6. The functional is PBE.

For the energy of formation from the pure elements, the calculation gives 0.0166 eV/atom.

The space group is C2/m (No. 12) and the conventional cell measures 6.204, 10.737 and 11.842 Å, with angles of 90.00, 100.00 and 90.00 degrees. The asymmetric unit holds Tb at (0.000, 0.000, 0.000), Tb at (0.000, 0.333, 0.000), Pm at (0.000, 0.167, 0.500), Dy at (0.000, 0.500, 0.500), Y at (0.249, 0.500, 0.248) and Y at (0.250, 0.166, 0.249).


Entry 12:
This record from the Alexandria database describes an optimized crystal structure of Cs3K8Hg2. The functional is PBE.

For the energy of formation from the pure elements, the calculation gives -0.0648 eV/atom.

The space group is P2/m (No. 10) and the conventional cell measures 11.226, 5.113 and 16.211 Å, with angles of 90.00, 103.03 and 90.00 degrees. The asymmetric unit holds Cs at (0.000, 0.000, 0.000), Cs at (0.386, 0.500, 0.104), K at (0.071, 0.500, 0.266), K at (0.206, 0.500, 0.550), K at (0.251, 0.000, 0.785), K at (0.395, 0.000, 0.370) and Hg at (0.021, 0.000, 0.410).